[1]
Computed, not measured: crystalline PmIr2O6 at its relaxed geometry at the GGA-PBE level of DFT.

Cell: 5.297 5.297 4.976 Å, 90.00 90.00 120.00°
Sites, in units of the cell vectors:
Pm  0.000  0.000  0.000
Ir  0.333  0.667  0.500
Ir  0.667  0.333  0.500
O  0.000  0.363  0.716
O  0.000  0.637  0.284
O  0.363  0.000  0.716
O  0.363  0.363  0.284
O  0.637  0.000  0.284
O  0.637  0.637  0.716

Results
Space group: P-31m (162)
E_form (uncorrected) (kJ/mol of atoms): -139.8
E_tot (eV per cell): -65.27

=====

[2]
Computed, not measured: crystalline PmIrO6 at its relaxed geometry at the GGA-PBE level of DFT.

Cell: 3.937 4.874 5.319 Å, 77.99 89.47 81.25°
Sites, in units of the cell vectors:
Pm  0.000  0.000  0.000
Ir  0.500  0.500  0.500
O  0.118  0.706  0.671
O  0.160  0.453  0.234
O  0.470  0.160  0.752
O  0.530  0.840  0.248
O  0.840  0.547  0.766
O  0.882  0.294  0.329

Results
Space group: P-1 (2)
Offset from the most stable computed form (kcal/mol of atoms): 0.00
E_form (uncorrected) (kJ/mol of atoms): -121.0
E_tot (eV per cell): -53.40

=====

[3]
Computed, not measured: crystalline Pm2IrO at its relaxed geometry at the GGA-PBE level of DFT.

Cell: 5.922 5.677 11.379 Å, 90.00 114.88 90.00°
Sites, in units of the cell vectors:
Pm  0.044  0.239  0.101
Pm  0.044  0.761  0.601
Pm  0.331  0.225  0.860
Pm  0.331  0.775  0.360
Pm  0.669  0.225  0.640
Pm  0.669  0.775  0.140
Pm  0.956  0.239  0.399
Pm  0.956  0.761  0.899
Ir  0.416  0.276  0.351
Ir  0.416  0.724  0.851
Ir  0.584  0.276  0.149
Ir  0.584  0.724  0.649
O  0.038  0.179  0.620
O  0.038  0.821  0.120
O  0.962  0.179  0.880
O  0.962  0.821  0.380

Results
Space group: P2/c (13)
Offset from the most stable computed form (kcal/mol of atoms): 0.00
E_form (uncorrected) (kJ/mol of atoms): -156.0
E_tot (eV per cell): -119.16

=====

[4]
Computed, not measured: crystalline Pm6Ir3O at its relaxed geometry at the GGA-PBE level of DFT.

Cell: 6.709 7.437 11.807 Å, 90.00 122.30 90.00°
Sites, in units of the cell vectors:
Pm  0.097  0.044  0.239
Pm  0.097  0.456  0.739
Pm  0.234  0.681  0.077
Pm  0.234  0.819  0.577
Pm  0.374  0.168  0.063
Pm  0.374  0.332  0.563
Pm  0.626  0.668  0.437
Pm  0.626  0.832  0.937
Pm  0.766  0.181  0.423
Pm  0.766  0.319  0.923
Pm  0.903  0.544  0.261
Pm  0.903  0.956  0.761
Ir  0.309  0.110  0.768
Ir  0.309  0.390  0.268
Ir  0.500  0.000  0.500
Ir  0.500  0.500  0.000
Ir  0.691  0.610  0.732
Ir  0.691  0.890  0.232
O  0.000  0.000  0.000
O  0.000  0.500  0.500

Results
Space group: P2_1/c (14)
Offset from the most stable computed form (kcal/mol of atoms): 1.20
E_form (uncorrected) (kJ/mol of atoms): -97.9
E_tot (eV per cell): -140.39

=====

[5]
Computed, not measured: crystalline PmIr3O8 at its relaxed geometry at the GGA-PBE level of DFT.

Cell: 6.640 6.640 6.640 Å, 56.60 56.60 56.60°
Sites, in units of the cell vectors:
Pm  0.000  0.000  0.000
Ir  0.000  0.000  0.500
Ir  0.000  0.500  0.000
Ir  0.500  0.000  0.000
O  0.189  0.749  0.749
O  0.223  0.223  0.223
O  0.251  0.251  0.811
O  0.251  0.811  0.251
O  0.749  0.189  0.749
O  0.749  0.749  0.189
O  0.777  0.777  0.777
O  0.811  0.251  0.251

Results
Space group: R-3m (166)
E_form (uncorrected) (kJ/mol of atoms): -108.5
E_tot (eV per cell): -84.49

=====

[6]
Computed, not measured: crystalline Pm4IrO10 at its relaxed geometry at the GGA-PBE level of DFT.

Cell: 6.652 6.652 6.652 Å, 99.90 99.90 131.01°
Sites, in units of the cell vectors:
Pm  0.099  0.696  0.795
Pm  0.304  0.099  0.402
Pm  0.696  0.901  0.598
Pm  0.901  0.304  0.205
Ir  0.500  0.500  0.000
O  0.104  0.374  0.918
O  0.186  0.104  0.729
O  0.250  0.750  0.500
O  0.374  0.456  0.271
O  0.456  0.186  0.082
O  0.544  0.814  0.918
O  0.626  0.544  0.729
O  0.750  0.250  0.500
O  0.814  0.896  0.271
O  0.896  0.626  0.082

Results
Space group: I4/m (87)
E_form (uncorrected) (kJ/mol of atoms): -217.1
E_tot (eV per cell): -111.19

=====

[7]
Computed, not measured: crystalline Pm6IrO12 at its relaxed geometry at the GGA-PBE level of DFT.

Cell: 6.674 6.674 6.674 Å, 98.54 98.54 98.54°
Sites, in units of the cell vectors:
Pm  0.111  0.644  0.810
Pm  0.190  0.889  0.356
Pm  0.356  0.190  0.889
Pm  0.644  0.810  0.111
Pm  0.810  0.111  0.644
Pm  0.889  0.356  0.190
Ir  0.500  0.500  0.500
O  0.061  0.323  0.907
O  0.093  0.939  0.677
O  0.209  0.533  0.433
O  0.323  0.907  0.061
O  0.433  0.209  0.533
O  0.467  0.567  0.791
O  0.533  0.433  0.209
O  0.567  0.791  0.467
O  0.677  0.093  0.939
O  0.791  0.467  0.567
O  0.907  0.061  0.323
O  0.939  0.677  0.093

Results
Space group: R-3 (148)
E_form (uncorrected) (kJ/mol of atoms): -276.7
E_tot (eV per cell): -151.36

=====

[8]
Computed, not measured: crystalline Pm2IrO at its relaxed geometry at the GGA-PBE level of DFT.

Cell: 3.227 3.227 7.062 Å, 90.00 90.00 90.00°
Sites, in units of the cell vectors:
Pm  0.000  0.000  0.228
Pm  0.000  0.000  0.772
Ir  0.500  0.500  0.500
O  0.500  0.500  0.000

Results
Space group: P4/mmm (123)
Offset from the most stable computed form (kcal/mol of atoms): 7.77
E_form (uncorrected) (kJ/mol of atoms): -123.5
E_tot (eV per cell): -28.44

=====

[9]
Computed, not measured: crystalline PmIrO4 at its relaxed geometry at the GGA-PBE level of DFT.

Cell: 7.698 5.481 7.526 Å, 90.00 99.82 90.00°
Sites, in units of the cell vectors:
Pm  0.154  0.219  0.397
Pm  0.154  0.281  0.897
Pm  0.846  0.719  0.103
Pm  0.846  0.781  0.603
Ir  0.341  0.728  0.203
Ir  0.341  0.772  0.703
Ir  0.659  0.228  0.297
Ir  0.659  0.272  0.797
O  0.116  0.525  0.174
O  0.116  0.975  0.674
O  0.186  0.004  0.125
O  0.186  0.496  0.625
O  0.336  0.635  0.948
O  0.336  0.865  0.448
O  0.443  0.087  0.804
O  0.443  0.413  0.304
O  0.557  0.587  0.696
O  0.557  0.913  0.196
O  0.664  0.135  0.552
O  0.664  0.365  0.052
O  0.814  0.504  0.375
O  0.814  0.996  0.875
O  0.884  0.025  0.326
O  0.884  0.475  0.826

Results
Space group: P2_1/c (14)
Offset from the most stable computed form (kcal/mol of atoms): 0.00
E_form (uncorrected) (kJ/mol of atoms): -178.1
E_tot (eV per cell): -178.08

=====

[10]
Computed, not measured: crystalline Pm2IrO5 at its relaxed geometry at the GGA-PBE level of DFT.

Cell: 5.538 5.538 6.915 Å, 90.00 90.00 90.00°
Sites, in units of the cell vectors:
Pm  0.000  0.500  0.000
Pm  0.000  0.500  0.500
Pm  0.500  0.000  0.000
Pm  0.500  0.000  0.500
Ir  0.000  0.000  0.220
Ir  0.500  0.500  0.720
O  0.000  0.000  0.494
O  0.248  0.248  0.744
O  0.248  0.752  0.744
O  0.252  0.252  0.244
O  0.252  0.748  0.244
O  0.500  0.500  0.994
O  0.748  0.252  0.244
O  0.748  0.748  0.244
O  0.752  0.248  0.744
O  0.752  0.752  0.744

Results
Space group: I4mm (107)
E_form (uncorrected) (kJ/mol of atoms): -189.3
E_tot (eV per cell): -117.70

=====

[11]
Computed, not measured: crystalline PmIrO5 at its relaxed geometry at the GGA-PBE level of DFT.

Cell: 5.657 5.657 7.580 Å, 109.41 109.41 71.45°
Sites, in units of the cell vectors:
Pm  0.044  0.956  0.750
Pm  0.956  0.044  0.250
Ir  0.500  0.500  0.000
Ir  0.500  0.500  0.500
O  0.194  0.776  0.031
O  0.224  0.806  0.469
O  0.265  0.302  0.388
O  0.302  0.265  0.888
O  0.409  0.591  0.750
O  0.591  0.409  0.250
O  0.698  0.735  0.112
O  0.735  0.698  0.612
O  0.776  0.194  0.531
O  0.806  0.224  0.969

Results
Space group: C2/c (15)
E_form (uncorrected) (kJ/mol of atoms): -145.3
E_tot (eV per cell): -97.89

=====

[12]
Computed, not measured: crystalline Pm5Ir2O at its relaxed geometry at the GGA-PBE level of DFT.

Cell: 9.148 7.636 6.132 Å, 82.50 55.85 41.65°
Sites, in units of the cell vectors:
Pm  0.000  0.000  0.000
Pm  0.215  0.504  0.496
Pm  0.496  0.785  0.215
Pm  0.504  0.215  0.785
Pm  0.785  0.496  0.504
Ir  0.191  0.191  0.809
Ir  0.809  0.809  0.191
O  0.500  0.500  0.500

Results
Space group: Fmmm (69)
E_form (uncorrected) (kJ/mol of atoms): -93.6
E_tot (eV per cell): -54.19

=====

Question: Which value of E_tot does entry 10 give?
Answer: -117.70 eV per cell